No. 1
{"formula": "Sr2NiN6O12", "functional": "PBE with a Hubbard U", "state": "relaxed", "dft_energy_ev_per_cell": -97.81, "lattice": [[0.000, 5.047, 5.047], [5.047, 0.000, 5.047], [5.047, 5.047, 0.000]], "species": ["O", "O", "O", "O", "O", "O", "O", "O", "O", "O", "O", "O", "N", "N", "N", "N", "N", "N", "Ni", "Sr", "Sr"], "fractional_positions": [[0.000, 0.341, 0.659], [0.000, 0.000, 0.659], [0.000, 0.000, 0.341], [0.341, 0.000, 0.659], [0.000, 0.659, 0.341], [0.000, 0.341, 0.000], [0.341, 0.000, 0.000], [0.659, 0.341, 0.000], [0.341, 0.659, 0.000], [0.659, 0.000, 0.341], [0.000, 0.659, 0.000], [0.659, 0.000, 0.000], [0.811, 0.811, 0.189], [0.189, 0.811, 0.189], [0.811, 0.189, 0.189], [0.189, 0.811, 0.811], [0.811, 0.189, 0.811], [0.189, 0.189, 0.811], [0.000, 0.000, 0.000], [0.250, 0.250, 0.250], [0.750, 0.750, 0.750]]}

***

No. 2
{"formula": "TcNiN2O", "functional": "PBE with a Hubbard U", "state": "relaxed", "dft_energy_ev_per_cell": -28.38, "lattice": [[3.708, 0.000, 0.000], [0.000, 3.708, 0.000], [0.000, 0.000, 3.647]], "species": ["Tc", "O", "N", "N", "Ni"], "fractional_positions": [[0.500, 0.500, 0.500], [0.000, 0.000, 0.500], [0.500, 0.000, 0.000], [0.000, 0.500, 0.000], [0.000, 0.000, 0.000]]}